No. 1
Material: Ba2ThCu2S5
Method: DFT, PBE-GGA
State: relaxed

POSCAR file:
```
Ba2ThCu2S5
1.0
6.872 -2.072 0.000
6.872 2.072 0.000
-4.059 0.000 8.561
Ba Th Cu S
2 1 2 5
direct
0.176 0.176 0.190 Ba
0.824 0.824 0.810 Ba
0.000 0.000 0.500 Th
0.447 0.447 0.203 Cu
0.553 0.553 0.797 Cu
0.146 0.146 0.811 S
0.387 0.387 0.568 S
0.500 0.500 0.000 S
0.613 0.613 0.432 S
0.854 0.854 0.189 S
```

Properties
- total magnetic moment (μB/cell) = 0.00
- formation energy from raw total energies (meV per atom) = -1559
- density (g cm⁻³) = 5.41

No. 2
Material: Li6CaGa
Method: DFT, PBE-GGA
State: relaxed

POSCAR file:
```
Li6CaGa
1.0
3.536 2.042 4.213
-3.536 2.042 4.213
0.000 -4.083 4.213
Li Ca Ga
6 1 1
direct
0.133 0.133 0.532 Li
0.133 0.532 0.133 Li
0.468 0.867 0.867 Li
0.532 0.133 0.133 Li
0.867 0.468 0.867 Li
0.867 0.867 0.468 Li
0.500 0.500 0.500 Ca
0.000 0.000 0.000 Ga
```

Properties
- total magnetic moment (μB/cell) = 0.00
- total DFT energy (no corrections) (eV per atom) = -2.02
- density (g cm⁻³) = 1.38

No. 3
Material: Rb2In2Au
Method: DFT, PBE-GGA
State: relaxed

POSCAR file:
```
Rb2In2Au
1.0
2.390 1.380 11.306
-2.390 1.380 11.306
0.000 -2.760 11.306
Rb In Au
2 2 1
direct
0.069 0.069 0.069 Rb
0.931 0.931 0.931 Rb
0.192 0.192 0.192 In
0.808 0.808 0.808 In
0.500 0.500 0.500 Au
```

Properties
- total magnetic moment (μB/cell) = 0.00
- excess energy over the best structure of this formula in the dataset (meV per atom) = 0.0
- density (g cm⁻³) = 4.43

No. 4
Material: CuAs3N
Method: DFT, PBE-GGA
State: relaxed

POSCAR file:
```
CuAs3N
1.0
4.613 0.000 0.000
0.000 4.613 0.000
0.000 0.000 4.613
Cu As N
1 3 1
direct
0.000 0.000 0.000 Cu
0.000 0.000 0.500 As
0.000 0.500 0.000 As
0.500 0.000 0.000 As
0.500 0.500 0.500 N
```

Properties
- total magnetic moment (μB/cell) = 0.00
- excess energy over the best structure of this formula in the dataset (meV per atom) = 856.5
- formation energy from raw total energies (meV per atom) = 1691
- density (g cm⁻³) = 5.11